No. 1
The following is a DFT calculation (GGA-PBE) of a geometry-optimized TeIr2Pb structure.

Structure (POSCAR):
```
TeIr2Pb
1.0
0.0000 3.3848 3.3848
3.3848 0.0000 3.3848
3.3848 3.3848 0.0000
Pb Ir Te
1 2 1
direct
0.5000 0.5000 0.5000
0.2500 0.2500 0.2500
0.7500 0.7500 0.7500
0.0000 0.0000 0.0000
```

Results
D(E_F), states/eV/f.u.: 4.1
Energy relative to the elements, uncorrected, eV/f.u.: 2.37
E above lowest polymorph, eV/atom: 0.3661

***

No. 2
The following is a DFT calculation (GGA-PBE) of a geometry-optimized Te2IrPb structure.

Structure (POSCAR):
```
Te2IrPb
1.0
6.5137 0.0077 0.0482
5.3286 3.7462 0.0482
3.0153 0.9558 4.6977
Ir Pb Te
1 1 2
direct
0.4566 0.4566 0.7222
0.1770 0.1770 0.2344
0.0182 0.0182 0.9352
0.8482 0.8482 0.6082
```

Results
D(E_F), states/eV/f.u.: 2.4
Energy relative to the elements, uncorrected, eV/f.u.: -0.18

***

No. 3
The following is a DFT calculation (GGA-PBE) of a geometry-optimized TeIrPb2 structure.

Structure (POSCAR):
```
TeIrPb2
1.0
3.2982 0.0000 0.0000
0.0000 3.2988 0.0000
0.0000 0.0000 9.5867
Ir Pb Te
1 2 1
direct
0.5000 0.5000 0.7500
0.0000 0.0000 0.9392
0.0000 0.0000 0.5608
0.5000 0.5000 0.2500
```

Results
D(E_F), states/eV/f.u.: 1.5
Energy relative to the elements, uncorrected, eV/f.u.: 0.62

***

No. 4
The following is a DFT calculation (GGA-PBE) of a geometry-optimized Te2IrPb structure.

Structure (POSCAR):
```
Te2IrPb
1.0
7.0412 -0.0015 0.0021
4.5611 5.3643 -0.0021
-5.3640 -3.6273 2.7659
Ir Pb Te
1 1 2
direct
0.5158 0.5158 0.0000
0.3168 0.8168 0.5000
0.9892 0.9892 0.0000
0.6781 0.1781 0.5000
```

Results
D(E_F), states/eV/f.u.: 2.0
Energy relative to the elements, uncorrected, eV/f.u.: 0.58

***

No. 5
The following is a DFT calculation (GGA-PBE) of a geometry-optimized TeIrPb structure.

Structure (POSCAR):
```
TeIrPb
1.0
6.7441 0.0000 0.0000
0.0000 6.9020 -0.0287
0.0000 -3.0244 6.3023
Pb Te Ir
4 4 4
direct
0.1491 0.3542 0.9169
0.1441 0.8599 0.3664
0.6441 0.1401 0.6336
0.6491 0.6458 0.0831
0.8592 0.6590 0.5683
0.8655 0.1497 0.1276
0.3655 0.8503 0.8724
0.3592 0.3410 0.4317
0.9906 0.2877 0.5297
0.4906 0.7123 0.4703
0.4953 0.2554 0.0534
0.9953 0.7446 0.9466
```

Results
D(E_F), states/eV/f.u.: 0.1
Energy relative to the elements, uncorrected, eV/f.u.: -0.43
E above lowest polymorph, eV/atom: 0.0000

***

No. 6
The following is a DFT calculation (GGA-PBE) of a geometry-optimized Te2IrPb structure.

Structure (POSCAR):
```
Te2IrPb
1.0
3.9475 0.0369 -0.0399
2.0303 3.3856 -0.0399
1.6468 0.9429 8.3953
Ir Pb Te
1 1 2
direct
0.7500 0.7500 0.7500
0.2500 0.2500 0.2500
0.0343 0.0343 0.9193
0.4657 0.4657 0.5807
```

Results
D(E_F), states/eV/f.u.: 3.1
Energy relative to the elements, uncorrected, eV/f.u.: -0.41